PBE-GGA Sc4ZnPt, relaxed; energy of formation from the pure elements = -0.403 eV/atom; space-group type = P4/mmm (123); calculated volume = 22.88 A^3/atom; relative energy among the computed polymorphs = 0.000 eV per formula unit
1.0
-4.046 -1.444 -1.581
-0.234 -3.061 3.395
-3.048 4.410 3.768
Zn Sc Pt
1 4 1
Direct
0.501 0.497 0.998
0.501 0.997 0.254
0.001 0.497 0.742
0.001 0.497 0.254
0.501 0.998 0.742
0.001 0.997 0.498

---

PBE-GGA TlGe2PtAu, relaxed; energy of formation from the pure elements = 0.281 eV/atom; space-group type = P4/mmm (123); calculated volume = 25.66 A^3/atom
1.0
-0.815 -0.585 -4.700
5.030 -2.283 -0.588
-1.870 -4.342 0.865
Ge Au Tl Pt
2 1 1 1
Direct
0.000 0.000 0.500
0.500 0.000 0.000
0.500 0.500 0.500
0.000 0.500 0.000
0.000 0.000 0.000

---

PBE-GGA Ac3DyRh2, relaxed; energy of formation from the pure elements = -0.541 eV/atom; space-group type = C2/m (12); calculated volume = 34.38 A^3/atom
1.0
-2.013 -0.869 -3.725
-8.425 -2.490 2.626
-5.454 9.420 -1.759
Dy Ac Rh
2 6 4
Direct
0.444 0.421 0.690
0.556 0.579 0.310
0.940 0.927 0.193
0.684 0.683 0.948
0.316 0.317 0.052
0.060 0.073 0.807
0.818 0.802 0.562
0.182 0.198 0.438
0.876 0.387 0.860
0.624 0.129 0.622
0.376 0.871 0.378
0.124 0.613 0.140

---

PBE-GGA Ba2ErCu4O8, relaxed; uncorrected formation energy = -38.815 kcal/mol of atoms; space-group type = Cmmm (65); calculated volume = 13.81 A^3/atom
1.0
13.921 -0.009 0.000
-13.376 3.858 0.000
0.000 0.000 3.865
O Er Ba Cu
8 1 2 4
Direct
0.949 0.051 0.500
0.551 0.449 0.000
0.282 0.718 0.000
0.718 0.282 0.000
0.051 0.949 0.500
0.449 0.551 0.000
0.854 0.146 0.000
0.146 0.854 0.000
0.500 0.500 0.500
0.364 0.636 0.500
0.636 0.364 0.500
0.939 0.061 0.000
0.787 0.213 0.000
0.061 0.939 0.000
0.213 0.787 0.000

---

Number 1: size of the total moment 0.000 μB/atom. Number 2: size of the total moment 0.000 μB/atom. Number 3: size of the total moment 0.000 μB/atom. Number 4: size of the total moment 0.000 μB/atom.